Crystalline Sr2CoSbO6 at its relaxed geometry. Source: Alexandria, functional GGA+U.

Cell and atoms, written as CIF:
```
data_Sr2CoSbO6
_chemical_formula_sum 'Sr2 Co1 Sb1 O6'
_space_group_name_H-M_alt 'P 1'
_space_group_IT_number 1
_space_group_name_Hall 'P 1'
_cell_length_a 6.7179
_cell_length_b 6.7179
_cell_length_c 6.7179
_cell_angle_alpha 134.35
_cell_angle_beta 130.69
_cell_angle_gamma 69.45
loop_
_atom_site_label
_atom_site_fract_x
_atom_site_fract_y
_atom_site_fract_z
O1 0.7420 0.7497 0.4917
O2 0.2580 0.7497 0.0077
O3 0.7420 0.2503 0.9923
O4 0.6799 0.6799 0.0000
O5 0.2580 0.2503 0.5083
O6 0.3201 0.3201 0.0000
Co1 0.5000 0.5000 0.0000
Sr1 0.3328 0.8328 0.5000
Sr2 0.6672 0.1672 0.5000
Sb1 0.0000 0.5000 0.5000
```

Output
DFT total energy in eV/atom: -5.75
Symmetry: Immm, No. 71